Entry 1:
Al2TlOs: relaxed, GGA-PBE.

Lattice parameters (Å, degrees): 3.113 3.736 6.280 90.00 90.00 90.00
Space group Pmm2 (No. 25)
Unique sites:
Al  0.000  0.000  0.000 [1 per cell]
Al  0.500  0.500  0.258 [1 per cell]
Tl  0.500  0.500  0.712 [1 per cell]
Os  0.000  0.000  0.386 [1 per cell]

Relative energy among the computed polymorphs   0.317 eV/atom
Electronic total energy   -20.153 eV for the cell shown
Total moment   0.00 μB/cell

Entry 2:
TaTe2As: relaxed, GGA-PBE.

Lattice parameters (Å, degrees): 3.4480 3.4480 29.1537 90.00 90.00 120.00
Space group R3m (No. 160, hexagonal axes)
Unique sites:
Ta  0.0000  0.0000  0.0000 [3 per cell]
Te  0.0000  0.0000  0.5202 [3 per cell]
Te  0.0000  0.0000  0.7351 [3 per cell]
As  0.0000  0.0000  0.2752 [3 per cell]

Electronic total energy   -69.052 eV for the cell shown
Total moment   0.00 μB/cell
Raw formation energy   -0.058 eV/atom